Record 1
Compound: Mn2TlCuCl8
Source: Alexandria via LeMat-Bulk
Functional: PBE-GGA
Structure: optimized geometry

The space group is P-3 (No. 147) and the conventional cell measures 6.5094, 6.5094 and 8.9051 Å, with angles of 90.00, 90.00 and 120.00 degrees. The asymmetric unit holds Mn at (0.3333, 0.6667, 0.2315), Tl at (0.0000, 0.0000, 0.5000), Cu at (0.0000, 0.0000, 0.0000), Cl at (0.0202, 0.3097, 0.1634) and Cl at (0.3333, 0.6667, 0.4813).

The crystal system is trigonal. Its density of states at the Fermi level is 3.21 states/eV per cell. The value obtained for the calculated total energy is -4.15 eV per atom. Its formation energy (no corrections) is -0.851 eV per atom.

=====

Record 2
Compound: MnTl3Cu2Cl8
Source: Alexandria via LeMat-Bulk
Functional: PBE-GGA
Structure: optimized geometry

The space group is P-3m1 (No. 164) and the conventional cell measures 7.0499, 7.0499 and 8.9745 Å, with angles of 90.00, 90.00 and 120.00 degrees. The asymmetric unit holds Mn at (0.0000, 0.0000, 0.0000), Tl at (0.0000, 0.0000, 0.5000), Tl at (0.3333, 0.6667, 0.1433), Cu at (0.3333, 0.6667, 0.7190), Cl at (0.1610, 0.3220, 0.8339) and Cl at (0.3333, 0.6667, 0.4744).

The crystal system is trigonal. Its density of states at the Fermi level is 4.54 states/eV per cell. The value obtained for the calculated total energy is -3.64 eV per atom. Its formation energy (no corrections) is -0.835 eV per atom.

=====

Record 3
Compound: MnTl2CuCl6
Source: Alexandria via LeMat-Bulk
Functional: PBE-GGA
Structure: optimized geometry

The space group is P1 (No. 1) and the conventional cell measures 6.9521, 6.9891 and 7.0422 Å, with angles of 118.65, 91.67 and 118.77 degrees. The asymmetric unit holds Mn at (0.0000, 0.0000, 0.0000), Tl at (0.2510, 0.4951, 0.7466), Tl at (0.7499, 0.5053, 0.2530), Cu at (0.4969, 0.9966, 0.4998), Cl at (0.2212, 0.4666, 0.2193), Cl at (0.2534, 0.0028, 0.7820), Cl at (0.2660, 0.0269, 0.2991), Cl at (0.7349, 0.9739, 0.7008), Cl at (0.7475, 0.9982, 0.2179) and Cl at (0.7801, 0.5344, 0.7807).

The crystal system is triclinic. Its density of states at the Fermi level is 0.80 states/eV per cell. The value obtained for the calculated total energy is -3.81 eV per atom. Its formation energy (no corrections) is -0.905 eV per atom.

=====

Record 4
Compound: MnTlCuCl5
Source: Alexandria via LeMat-Bulk
Functional: PBE-GGA
Structure: optimized geometry

The space group is C2/c (No. 15) and the conventional cell measures 8.4915, 11.4556 and 9.3361 Å, with angles of 90.00, 113.10 and 90.00 degrees. The asymmetric unit holds Mn at (0.0000, 0.0000, 0.0000), Tl at (0.0000, 0.3359, 0.2500), Cu at (0.0000, 0.3100, 0.7500), Cl at (0.0000, 0.0577, 0.2500), Cl at (0.0912, 0.1983, 0.5923) and Cl at (0.2024, 0.4345, 0.9208).

The crystal system is monoclinic. Its density of states at the Fermi level is 9.10 states/eV per cell. The value obtained for the calculated total energy is -3.98 eV per atom. Its formation energy (no corrections) is -0.870 eV per atom.